Entry 1:
Tb2NdYHo2 | PBE-GGA | relaxed

The structure in CIF format:
```
data_Tb2NdYHo2
_cell_length_a 6.5688
_cell_length_b 17.7843
_cell_length_c 3.4083
_cell_angle_alpha 90.00
_cell_angle_beta 90.00
_cell_angle_gamma 90.00
_space_group_name_H-M_alt 'P n n m'
_space_group_IT_number 58
_space_group_name_Hall '-P 2 2n'
loop_
_atom_site_label
_atom_site_fract_x
_atom_site_fract_y
_atom_site_fract_z
Tb1 0.2284 0.1850 0.0000
Nd1 0.0000 0.0000 0.0000
Y1 0.0000 0.5000 0.0000
Ho1 0.2256 0.3511 0.5000
```

Summary:
**Total DFT energy (no corrections)**: -56.0 eV per cell
**Calculated formation energy**: 0.2738 eV per atom
**Total moment**: 0.00 μB per formula unit

Entry 2:
Tb2Nd2YHo | PBE-GGA | relaxed

The structure in CIF format:
```
data_Tb2Nd2YHo
_cell_length_a 6.5796
_cell_length_b 6.8222
_cell_length_c 8.9410
_cell_angle_alpha 90.00
_cell_angle_beta 94.93
_cell_angle_gamma 90.00
_space_group_name_H-M_alt 'P 1 21/m 1'
_space_group_IT_number 11
_space_group_name_Hall '-P 2yb'
loop_
_atom_site_label
_atom_site_fract_x
_atom_site_fract_y
_atom_site_fract_z
Tb1 0.1671 0.9997 0.1695
Nd1 0.3235 0.2500 0.8494
Nd2 0.4099 0.2500 0.4817
Y1 0.3231 0.7500 0.8470
Ho1 0.0781 0.7500 0.4984
```

Summary:
**Total DFT energy (no corrections)**: -58.0 eV per cell
**Calculated formation energy**: 0.1382 eV per atom
**Total moment**: 0.00 μB per formula unit

Entry 3:
Tb4NdY2Ho2 | PBE-GGA | relaxed

The structure in CIF format:
```
data_Tb4NdY2Ho2
_cell_length_a 18.5334
_cell_length_b 3.5644
_cell_length_c 8.7577
_cell_angle_alpha 90.00
_cell_angle_beta 90.08
_cell_angle_gamma 90.00
_space_group_name_H-M_alt 'C 1 2/m 1'
_space_group_IT_number 12
_space_group_name_Hall '-C 2y'
loop_
_atom_site_label
_atom_site_fract_x
_atom_site_fract_y
_atom_site_fract_z
Tb1 0.0560 0.0000 0.1658
Tb2 0.2219 0.5000 0.1661
Nd1 0.0000 0.5000 0.5000
Y1 0.1118 0.5000 0.8331
Ho1 0.1682 0.0000 0.4988
```

Summary:
**Total DFT energy (no corrections)**: -90.4 eV per cell
**Calculated formation energy**: 0.0185 eV per atom
**Total moment**: 0.00 μB per formula unit

Entry 4:
Tb6Nd3Ho2Zr | PBE-GGA | relaxed

The structure in CIF format:
```
data_Tb6Nd3Ho2Zr
_cell_length_a 6.1527
_cell_length_b 10.6403
_cell_length_c 11.7468
_cell_angle_alpha 90.00
_cell_angle_beta 99.98
_cell_angle_gamma 90.00
_space_group_name_H-M_alt 'C 1 2/m 1'
_space_group_IT_number 12
_space_group_name_Hall '-C 2y'
loop_
_atom_site_label
_atom_site_fract_x
_atom_site_fract_y
_atom_site_fract_z
Tb1 0.2436 0.1634 0.2410
Tb2 0.2463 0.0000 0.7592
Nd1 0.0000 0.1662 0.5000
Nd2 0.0000 0.5000 0.5000
Ho1 0.0000 0.3332 0.0000
Zr1 0.0000 0.0000 0.0000
```

Summary:
**Total DFT energy (no corrections)**: -118.5 eV per cell
**Calculated formation energy**: 0.0450 eV per atom
**Total moment**: 0.00 μB per formula unit